1.
## PuTlPdRh (PBE-GGA)

Data for PuTlPdRh after structural relaxation.

The structure in CIF format:
```
data_PuTlPdRh
_chemical_formula_sum 'Pu4 Tl4 Pd4 Rh4'
_symmetry_space_group_name_H-M 'F -4 3 m'
_symmetry_Int_Tables_number 216
_symmetry_space_group_name_Hall 'F -4 2 3'
_cell_length_a 6.826
_cell_length_b 6.826
_cell_length_c 6.826
_cell_angle_alpha 90.00
_cell_angle_beta 90.00
_cell_angle_gamma 90.00
loop_
_atom_site_label
_atom_site_fract_x
_atom_site_fract_y
_atom_site_fract_z
_atom_site_occupancy
Pu1 0.000 0.000 0.000 1
Tl1 0.000 0.000 0.500 1
Pd1 0.250 0.250 0.250 1
Rh1 0.250 0.250 0.750 1
```

Its size of the total moment is 5.013 μB per formula unit. For the formation energy, the calculation gives -0.291 eV/atom.



2.
## TmPuPdRh (PBE-GGA)

Data for TmPuPdRh after structural relaxation.

The structure in CIF format:
```
data_TmPuPdRh
_chemical_formula_sum 'Tm4 Pu4 Pd4 Rh4'
_symmetry_space_group_name_H-M 'F -4 3 m'
_symmetry_Int_Tables_number 216
_symmetry_space_group_name_Hall 'F -4 2 3'
_cell_length_a 6.899
_cell_length_b 6.899
_cell_length_c 6.899
_cell_angle_alpha 90.00
_cell_angle_beta 90.00
_cell_angle_gamma 90.00
loop_
_atom_site_label
_atom_site_fract_x
_atom_site_fract_y
_atom_site_fract_z
_atom_site_occupancy
Tm1 0.000 0.000 0.000 1
Pu1 0.000 0.000 0.500 1
Pd1 0.250 0.250 0.750 1
Rh1 0.250 0.250 0.250 1
```

Its size of the total moment is 5.387 μB per formula unit. For the formation energy, the calculation gives -0.642 eV/atom.



3.
## YPuPdRh (PBE-GGA)

Data for YPuPdRh after structural relaxation.

The structure in CIF format:
```
data_YPuPdRh
_chemical_formula_sum 'Y1 Pu1 Pd1 Rh1'
_symmetry_space_group_name_H-M 'P 4 m m'
_symmetry_Int_Tables_number 99
_symmetry_space_group_name_Hall 'P 4 -2'
_cell_length_a 3.448
_cell_length_b 3.448
_cell_length_c 7.091
_cell_angle_alpha 90.00
_cell_angle_beta 90.00
_cell_angle_gamma 90.00
loop_
_atom_site_label
_atom_site_fract_x
_atom_site_fract_y
_atom_site_fract_z
_atom_site_occupancy
Y1 0.000 0.000 0.000 1
Pu1 0.000 0.000 0.518 1
Pd1 0.500 0.500 0.246 1
Rh1 0.500 0.500 0.755 1
```

Its size of the total moment is 5.214 μB per formula unit. For the formation energy, the calculation gives -0.625 eV/atom. The calculation puts the energy above the lowest structure with this stoichiometry at 0 meV per atom.



4.
## YPuPdRh (PBE-GGA)

Data for YPuPdRh after structural relaxation.

The structure in CIF format:
```
data_YPuPdRh
_chemical_formula_sum 'Y4 Pu4 Pd4 Rh4'
_symmetry_space_group_name_H-M 'F -4 3 m'
_symmetry_Int_Tables_number 216
_symmetry_space_group_name_Hall 'F -4 2 3'
_cell_length_a 6.956
_cell_length_b 6.956
_cell_length_c 6.956
_cell_angle_alpha 90.00
_cell_angle_beta 90.00
_cell_angle_gamma 90.00
loop_
_atom_site_label
_atom_site_fract_x
_atom_site_fract_y
_atom_site_fract_z
_atom_site_occupancy
Y1 0.000 0.000 0.000 1
Pu1 0.000 0.000 0.500 1
Pd1 0.250 0.250 0.750 1
Rh1 0.250 0.250 0.250 1
```

Its size of the total moment is 5.383 μB per formula unit. For the formation energy, the calculation gives -0.601 eV/atom. The calculation puts the energy above the lowest structure with this stoichiometry at 24 meV per atom.



5.
## PuZnPdRh (PBE-GGA)

Data for PuZnPdRh after structural relaxation.

The structure in CIF format:
```
data_PuZnPdRh
_chemical_formula_sum 'Pu4 Zn4 Pd4 Rh4'
_symmetry_space_group_name_H-M 'F -4 3 m'
_symmetry_Int_Tables_number 216
_symmetry_space_group_name_Hall 'F -4 2 3'
_cell_length_a 6.569
_cell_length_b 6.569
_cell_length_c 6.569
_cell_angle_alpha 90.00
_cell_angle_beta 90.00
_cell_angle_gamma 90.00
loop_
_atom_site_label
_atom_site_fract_x
_atom_site_fract_y
_atom_site_fract_z
_atom_site_occupancy
Pu1 0.000 0.000 0.000 1
Zn1 0.000 0.000 0.500 1
Pd1 0.250 0.250 0.250 1
Rh1 0.250 0.250 0.750 1
```

Its size of the total moment is 4.809 μB per formula unit. For the formation energy, the calculation gives -0.417 eV/atom.



6.
## PuZrPdRh (PBE-GGA)

Data for PuZrPdRh after structural relaxation.

The structure in CIF format:
```
data_PuZrPdRh
_chemical_formula_sum 'Pu4 Zr4 Pd4 Rh4'
_symmetry_space_group_name_H-M 'F -4 3 m'
_symmetry_Int_Tables_number 216
_symmetry_space_group_name_Hall 'F -4 2 3'
_cell_length_a 6.805
_cell_length_b 6.805
_cell_length_c 6.805
_cell_angle_alpha 90.00
_cell_angle_beta 90.00
_cell_angle_gamma 90.00
loop_
_atom_site_label
_atom_site_fract_x
_atom_site_fract_y
_atom_site_fract_z
_atom_site_occupancy
Pu1 0.000 0.000 0.000 1
Zr1 0.000 0.000 0.500 1
Pd1 0.250 0.250 0.750 1
Rh1 0.250 0.250 0.250 1
```

Its size of the total moment is 5.625 μB per formula unit. For the formation energy, the calculation gives -0.469 eV/atom.